1 | # La2GdSi (PBE, optimized geometry)
# D(E_F) (states/eV/f.u.): 9.097
# Crystal system: trigonal
# Calculated volume (A^3/atom): 36.9
data_La2GdSi
_cell_length_a 4.0041
_cell_length_b 4.0041
_cell_length_c 10.8840
_cell_angle_alpha 79.40
_cell_angle_beta 79.40
_cell_angle_gamma 60.00
_symmetry_space_group_name_H-M 'P 1'
_symmetry_Int_Tables_number 1
_symmetry_space_group_name_Hall 'P 1'
loop_
_atom_site_label
_atom_site_type_symbol
_atom_site_fract_x
_atom_site_fract_y
_atom_site_fract_z
Gd1 Gd 0.0000 0.0000 0.0000
La1 La 0.8890 0.8890 0.3331
La2 La 0.1110 0.1110 0.6669
Si1 Si 0.5000 0.5000 0.5000

2 | # La2GdSi (PBE, optimized geometry)
# D(E_F) (states/eV/f.u.): 4.250
# Crystal system: tetragonal
# Calculated volume (A^3/atom): 27.6
data_La2GdSi
_cell_length_a 4.8312
_cell_length_b 4.7824
_cell_length_c 4.7824
_cell_angle_alpha 90.00
_cell_angle_beta 90.00
_cell_angle_gamma 90.00
_symmetry_space_group_name_H-M 'P 1'
_symmetry_Int_Tables_number 1
_symmetry_space_group_name_Hall 'P 1'
loop_
_atom_site_label
_atom_site_type_symbol
_atom_site_fract_x
_atom_site_fract_y
_atom_site_fract_z
La1 La 0.0000 0.0000 0.5000
La2 La 0.0000 0.5000 0.0000
Gd1 Gd 0.5000 0.0000 0.0000
Si1 Si 0.5000 0.5000 0.5000

Which one sits at the bottom of the stability order? 1 does.

1 | # La2GdTc (PBE, optimized geometry)
# D(E_F) (states/eV/f.u.): 5.818
# Crystal system: tetragonal
# Calculated volume (A^3/atom): 28.8
data_La2GdTc
_cell_length_a 3.5850
_cell_length_b 3.5850
_cell_length_c 8.9602
_cell_angle_alpha 90.00
_cell_angle_beta 90.00
_cell_angle_gamma 90.00
_symmetry_space_group_name_H-M 'P 1'
_symmetry_Int_Tables_number 1
_symmetry_space_group_name_Hall 'P 1'
loop_
_atom_site_label
_atom_site_type_symbol
_atom_site_fract_x
_atom_site_fract_y
_atom_site_fract_z
La1 La 0.0000 0.0000 0.1946
La2 La 0.0000 0.0000 0.8054
Gd1 Gd 0.5000 0.5000 0.5000
Tc1 Tc 0.5000 0.5000 0.0000

2 | # La2GdTc (PBE, optimized geometry)
# D(E_F) (states/eV/f.u.): 4.737
# Crystal system: trigonal
# Calculated volume (A^3/atom): 27.3
data_La2GdTc
_cell_length_a 4.9122
_cell_length_b 4.9122
_cell_length_c 5.9507
_cell_angle_alpha 65.62
_cell_angle_beta 65.62
_cell_angle_gamma 60.00
_symmetry_space_group_name_H-M 'P 1'
_symmetry_Int_Tables_number 1
_symmetry_space_group_name_Hall 'P 1'
loop_
_atom_site_label
_atom_site_type_symbol
_atom_site_fract_x
_atom_site_fract_y
_atom_site_fract_z
La1 La 0.2674 0.2674 0.1979
La2 La 0.7326 0.7326 0.8021
Tc1 Tc 0.0000 0.0000 0.0000
Gd1 Gd 0.5000 0.5000 0.5000

Which one sits at the bottom of the stability order? 2 does.

1 | # LaGd2Tc (PBE, optimized geometry)
# D(E_F) (states/eV/f.u.): 6.500
# Crystal system: tetragonal
# Calculated volume (A^3/atom): 28.2
data_LaGd2Tc
_cell_length_a 3.4748
_cell_length_b 3.4748
_cell_length_c 9.3357
_cell_angle_alpha 90.00
_cell_angle_beta 90.00
_cell_angle_gamma 90.00
_symmetry_space_group_name_H-M 'P 1'
_symmetry_Int_Tables_number 1
_symmetry_space_group_name_Hall 'P 1'
loop_
_atom_site_label
_atom_site_type_symbol
_atom_site_fract_x
_atom_site_fract_y
_atom_site_fract_z
La1 La 0.5000 0.5000 0.5000
Gd1 Gd 0.0000 0.0000 0.1791
Gd2 Gd 0.0000 0.0000 0.8209
Tc1 Tc 0.5000 0.5000 0.0000

2 | # LaGd2Tc (PBE, optimized geometry)
# D(E_F) (states/eV/f.u.): 5.207
# Crystal system: trigonal
# Calculated volume (A^3/atom): 28.2
data_LaGd2Tc
_cell_length_a 3.5557
_cell_length_b 3.5557
_cell_length_c 10.4988
_cell_angle_alpha 80.25
_cell_angle_beta 80.25
_cell_angle_gamma 60.00
_symmetry_space_group_name_H-M 'P 1'
_symmetry_Int_Tables_number 1
_symmetry_space_group_name_Hall 'P 1'
loop_
_atom_site_label
_atom_site_type_symbol
_atom_site_fract_x
_atom_site_fract_y
_atom_site_fract_z
La1 La 0.5000 0.5000 0.5000
Gd1 Gd 0.7310 0.7310 0.8071
Gd2 Gd 0.2690 0.2690 0.1929
Tc1 Tc 0.0000 0.0000 0.0000

Which one sits at the bottom of the stability order? 2 does.

1 | # La2GdTe (PBE, optimized geometry)
# D(E_F) (states/eV/f.u.): 5.337
# Crystal system: trigonal
# Calculated volume (A^3/atom): 36.2
data_La2GdTe
_cell_length_a 4.0645
_cell_length_b 4.0645
_cell_length_c 10.3956
_cell_angle_alpha 78.73
_cell_angle_beta 78.73
_cell_angle_gamma 60.00
_symmetry_space_group_name_H-M 'P 1'
_symmetry_Int_Tables_number 1
_symmetry_space_group_name_Hall 'P 1'
loop_
_atom_site_label
_atom_site_type_symbol
_atom_site_fract_x
_atom_site_fract_y
_atom_site_fract_z
La1 La 0.7394 0.7394 0.7818
La2 La 0.2606 0.2606 0.2182
Gd1 Gd 0.5000 0.5000 0.5000
Te1 Te 0.0000 0.0000 0.0000

2 | # La2GdTe (PBE, optimized geometry)
# D(E_F) (states/eV/f.u.): 4.908
# Crystal system: tetragonal
# Calculated volume (A^3/atom): 33.3
data_La2GdTe
_cell_length_a 4.0674
_cell_length_b 4.0674
_cell_length_c 8.0485
_cell_angle_alpha 90.00
_cell_angle_beta 90.00
_cell_angle_gamma 90.00
_symmetry_space_group_name_H-M 'P 1'
_symmetry_Int_Tables_number 1
_symmetry_space_group_name_Hall 'P 1'
loop_
_atom_site_label
_atom_site_type_symbol
_atom_site_fract_x
_atom_site_fract_y
_atom_site_fract_z
La1 La 0.0000 0.0000 0.2789
La2 La 0.0000 0.0000 0.7211
Gd1 Gd 0.5000 0.5000 0.0000
Te1 Te 0.5000 0.5000 0.5000

Which one sits at the bottom of the stability order? 1 does.

1 | # La2GdTh (PBE, optimized geometry)
# D(E_F) (states/eV/f.u.): 9.407
# Crystal system: cubic
# Calculated volume (A^3/atom): 34.6
data_La2GdTh
_cell_length_a 5.8075
_cell_length_b 5.8075
_cell_length_c 5.8075
_cell_angle_alpha 60.00
_cell_angle_beta 60.00
_cell_angle_gamma 60.00
_symmetry_space_group_name_H-M 'P 1'
_symmetry_Int_Tables_number 1
_symmetry_space_group_name_Hall 'P 1'
loop_
_atom_site_label
_atom_site_type_symbol
_atom_site_fract_x
_atom_site_fract_y
_atom_site_fract_z
La1 La 0.2500 0.2500 0.2500
La2 La 0.7500 0.7500 0.7500
Gd1 Gd 0.5000 0.5000 0.5000
Th1 Th 0.0000 0.0000 0.0000

2 | # La2GdTh (PBE, optimized geometry)
# D(E_F) (states/eV/f.u.): 7.036
# Crystal system: trigonal
# Calculated volume (A^3/atom): 34.3
data_La2GdTh
_cell_length_a 3.6381
_cell_length_b 3.6381
_cell_length_c 12.1528
_cell_angle_alpha 81.39
_cell_angle_beta 81.39
_cell_angle_gamma 60.00
_symmetry_space_group_name_H-M 'P 1'
_symmetry_Int_Tables_number 1
_symmetry_space_group_name_Hall 'P 1'
loop_
_atom_site_label
_atom_site_type_symbol
_atom_site_fract_x
_atom_site_fract_y
_atom_site_fract_z
La1 La 0.2523 0.2523 0.2431
La2 La 0.7477 0.7477 0.7569
Th1 Th 0.0000 0.0000 0.0000
Gd1 Gd 0.5000 0.5000 0.5000

Which one sits at the bottom of the stability order? 1 does.

1 | # LaGdTh2 (PBE, optimized geometry)
# D(E_F) (states/eV/f.u.): 8.578
# Crystal system: cubic
# Calculated volume (A^3/atom): 33.2
data_LaGdTh2
_cell_length_a 5.7263
_cell_length_b 5.7263
_cell_length_c 5.7263
_cell_angle_alpha 60.00
_cell_angle_beta 60.00
_cell_angle_gamma 60.00
_symmetry_space_group_name_H-M 'P 1'
_symmetry_Int_Tables_number 1
_symmetry_space_group_name_Hall 'P 1'
loop_
_atom_site_label
_atom_site_type_symbol
_atom_site_fract_x
_atom_site_fract_y
_atom_site_fract_z
Gd1 Gd 0.0000 0.0000 0.0000
La1 La 0.5000 0.5000 0.5000
Th1 Th 0.2500 0.2500 0.2500
Th2 Th 0.7500 0.7500 0.7500

2 | # LaGdTh2 (PBE, optimized geometry)
# D(E_F) (states/eV/f.u.): 7.191
# Crystal system: tetragonal
# Calculated volume (A^3/atom): 33.0
data_LaGdTh2
_cell_length_a 3.5642
_cell_length_b 3.5642
_cell_length_c 10.3760
_cell_angle_alpha 90.00
_cell_angle_beta 90.00
_cell_angle_gamma 90.00
_symmetry_space_group_name_H-M 'P 1'
_symmetry_Int_Tables_number 1
_symmetry_space_group_name_Hall 'P 1'
loop_
_atom_site_label
_atom_site_type_symbol
_atom_site_fract_x
_atom_site_fract_y
_atom_site_fract_z
Th1 Th 0.0000 0.0000 0.2461
Th2 Th 0.0000 0.0000 0.7539
La1 La 0.5000 0.5000 0.5000
Gd1 Gd 0.5000 0.5000 0.0000

Which one sits at the bottom of the stability order? 1 does.